# Hg3Pd2Au2 (PBE, optimized geometry)
data_Hg3Pd2Au2
_chemical_formula_sum 'Hg3 Pd2 Au2'
_space_group_name_H-M_alt 'P -1'
_space_group_IT_number 2
_space_group_name_Hall '-P 1'
_cell_length_a 3.084
_cell_length_b 5.741
_cell_length_c 8.320
_cell_angle_alpha 83.03
_cell_angle_beta 79.73
_cell_angle_gamma 74.50
loop_
_atom_site_label
_atom_site_type_symbol
_atom_site_fract_x
_atom_site_fract_y
_atom_site_fract_z
Hg1 Hg 0.000 0.000 0.000
Hg2 Hg 0.482 0.341 0.684
Pd1 Pd 0.255 0.371 0.120
Au1 Au 0.239 0.887 0.633
# - Calculated formation energy: -0.05 eV/atom
# - Total DFT energy (no corrections): -2.6016 eV/atom



# Sm2YErS6 (PBE, optimized geometry)
data_Sm2YErS6
_chemical_formula_sum 'Sm6 Y3 Er3 S18'
_space_group_name_H-M_alt 'R 3'
_space_group_IT_number 146
_space_group_name_Hall 'R 3'
_cell_length_a 6.9902
_cell_length_b 6.9902
_cell_length_c 18.5736
_cell_angle_alpha 90.00
_cell_angle_beta 90.00
_cell_angle_gamma 120.00
loop_
_atom_site_label
_atom_site_type_symbol
_atom_site_fract_x
_atom_site_fract_y
_atom_site_fract_z
Sm1 Sm 0.0000 0.0000 0.0000
Sm2 Sm 0.0000 0.0000 0.4994
Y1 Y 0.0000 0.0000 0.2036
Er1 Er 0.0000 0.0000 0.7028
S1 S 0.0414 0.3586 0.7715
S2 S 0.0426 0.6796 0.2719
# - Total DFT energy (no corrections): -6.5699 eV/atom
# - Uncorrected formation energy: -2.047 eV per atom



# BaNiPt3 (PBE, optimized geometry)
data_BaNiPt3
_chemical_formula_sum 'Ba1 Ni1 Pt3'
_space_group_name_H-M_alt 'P m -3 m'
_space_group_IT_number 221
_space_group_name_Hall '-P 4 2 3'
_cell_length_a 5.336
_cell_length_b 5.336
_cell_length_c 5.336
_cell_angle_alpha 90.00
_cell_angle_beta 90.00
_cell_angle_gamma 90.00
loop_
_atom_site_label
_atom_site_type_symbol
_atom_site_fract_x
_atom_site_fract_y
_atom_site_fract_z
Ba1 Ba 0.000 0.000 0.000
Ni1 Ni 0.500 0.500 0.500
Pt1 Pt 0.000 0.000 0.500
# - Calculated formation energy: 2.09 eV/atom
# - Total DFT energy (no corrections): -3.0729 eV/atom
# - Offset from the most stable computed form: 195.07 kJ/mol of atoms



# LiY2Fe (PBE, optimized geometry)
data_LiY2Fe
_chemical_formula_sum 'Li2 Y4 Fe2'
_space_group_name_H-M_alt 'I -4 m 2'
_space_group_IT_number 119
_space_group_name_Hall 'I -4 -2'
_cell_length_a 4.228
_cell_length_b 4.228
_cell_length_c 10.038
_cell_angle_alpha 90.00
_cell_angle_beta 90.00
_cell_angle_gamma 90.00
loop_
_atom_site_label
_atom_site_type_symbol
_atom_site_fract_x
_atom_site_fract_y
_atom_site_fract_z
Li1 Li 0.000 0.000 0.000
Y1 Y 0.000 0.000 0.500
Y2 Y 0.000 0.500 0.750
Fe1 Fe 0.000 0.500 0.250
# - Calculated formation energy: 0.32 eV/atom
# - Total DFT energy (no corrections): -5.5068 eV/atom



# Pu4GeSeS2 (PBE, optimized geometry)
data_Pu4GeSeS2
_chemical_formula_sum 'Pu4 Ge1 Se1 S2'
_space_group_name_H-M_alt 'P 1 2/m 1'
_space_group_IT_number 10
_space_group_name_Hall '-P 2y'
_cell_length_a 7.046
_cell_length_b 4.025
_cell_length_c 7.047
_cell_angle_alpha 90.00
_cell_angle_beta 109.45
_cell_angle_gamma 90.00
loop_
_atom_site_label
_atom_site_type_symbol
_atom_site_fract_x
_atom_site_fract_y
_atom_site_fract_z
Pu1 Pu 0.235 0.000 0.243
Pu2 Pu 0.238 0.500 0.742
Ge1 Ge 0.500 0.500 0.500
Se1 Se 0.500 0.000 0.000
S1 S 0.000 0.000 0.500
S2 S 0.000 0.500 0.000
# - Total DFT energy (no corrections): -10.5101 eV/atom
# - Uncorrected formation energy: -1.300 eV per atom



# RbOs2Pt (PBE, optimized geometry)
data_RbOs2Pt
_chemical_formula_sum 'Rb4 Os8 Pt4'
_space_group_name_H-M_alt 'F m -3 m'
_space_group_IT_number 225
_space_group_name_Hall '-F 4 2 3'
_cell_length_a 6.571
_cell_length_b 6.571
_cell_length_c 6.571
_cell_angle_alpha 90.00
_cell_angle_beta 90.00
_cell_angle_gamma 90.00
loop_
_atom_site_label
_atom_site_type_symbol
_atom_site_fract_x
_atom_site_fract_y
_atom_site_fract_z
Rb1 Rb 0.000 0.000 0.000
Os1 Os 0.250 0.250 0.250
Pt1 Pt 0.000 0.000 0.500
# - Calculated formation energy: 2.03 eV/atom
# - Total DFT energy (no corrections): -5.3322 eV/atom
# - Offset from the most stable computed form: 69.54 kJ/mol of atoms



# BaSr2TlH2 (PBE, optimized geometry)
data_BaSr2TlH2
_chemical_formula_sum 'Ba2 Sr4 Tl2 H4'
_space_group_name_H-M_alt 'P 1 21/m 1'
_space_group_IT_number 11
_space_group_name_Hall '-P 2yb'
_cell_length_a 7.741
_cell_length_b 5.854
_cell_length_c 8.414
_cell_angle_alpha 90.00
_cell_angle_beta 108.23
_cell_angle_gamma 90.00
loop_
_atom_site_label
_atom_site_type_symbol
_atom_site_fract_x
_atom_site_fract_y
_atom_site_fract_z
Ba1 Ba 0.183 0.250 0.432
Sr1 Sr 0.120 0.250 0.896
Sr2 Sr 0.386 0.750 0.784
Tl1 Tl 0.347 0.750 0.190
H1 H 0.123 0.504 0.670
# - Total DFT energy (no corrections): -2.7893 eV/atom



# CrNi14Pt (PBE, optimized geometry)
data_CrNi14Pt
_chemical_formula_sum 'Cr1 Ni14 Pt1'
_space_group_name_H-M_alt 'P 4/m m m'
_space_group_IT_number 123
_space_group_name_Hall '-P 4 2'
_cell_length_a 5.064
_cell_length_b 5.064
_cell_length_c 7.047
_cell_angle_alpha 90.00
_cell_angle_beta 90.00
_cell_angle_gamma 90.00
loop_
_atom_site_label
_atom_site_type_symbol
_atom_site_fract_x
_atom_site_fract_y
_atom_site_fract_z
Cr1 Cr 0.000 0.000 0.000
Ni1 Ni 0.000 0.000 0.500
Ni2 Ni 0.000 0.500 0.000
Ni3 Ni 0.000 0.500 0.500
Ni4 Ni 0.246 0.246 0.256
Ni5 Ni 0.500 0.500 0.500
Pt1 Pt 0.500 0.500 0.000
# - Calculated formation energy: 0.01 eV/atom
# - Total DFT energy (no corrections): -6.0267 eV/atom



# Nb3CdS (PBE, optimized geometry)
data_Nb3CdS
_chemical_formula_sum 'Nb3 Cd1 S1'
_space_group_name_H-M_alt 'P m -3 m'
_space_group_IT_number 221
_space_group_name_Hall '-P 4 2 3'
_cell_length_a 4.620
_cell_length_b 4.620
_cell_length_c 4.620
_cell_angle_alpha 90.00
_cell_angle_beta 90.00
_cell_angle_gamma 90.00
loop_
_atom_site_label
_atom_site_type_symbol
_atom_site_fract_x
_atom_site_fract_y
_atom_site_fract_z
Nb1 Nb 0.000 0.000 0.500
Cd1 Cd 0.500 0.500 0.500
S1 S 0.000 0.000 0.000
# - Total DFT energy (no corrections): -6.9326 eV/atom
# - Uncorrected formation energy: 0.118 eV per atom
# - Offset from the most stable computed form: 0.00 kJ/mol of atoms



# K3Na3PbCl8 (PBE, optimized geometry)
data_K3Na3PbCl8
_chemical_formula_sum 'K3 Na3 Pb1 Cl8'
_space_group_name_H-M_alt 'P -1'
_space_group_IT_number 2
_space_group_name_Hall '-P 1'
_cell_length_a 8.433
_cell_length_b 8.445
_cell_length_c 8.727
_cell_angle_alpha 61.14
_cell_angle_beta 61.16
_cell_angle_gamma 60.09
loop_
_atom_site_label
_atom_site_type_symbol
_atom_site_fract_x
_atom_site_fract_y
_atom_site_fract_z
K1 K 0.000 0.000 0.000
K2 K 0.000 0.500 0.000
K3 K 0.500 0.000 0.000
Na1 Na 0.000 0.500 0.500
Na2 Na 0.500 0.000 0.500
Na3 Na 0.500 0.500 0.500
Pb1 Pb 0.000 0.000 0.500
Cl1 Cl 0.239 0.240 0.280
Cl2 Cl 0.239 0.742 0.280
Cl3 Cl 0.259 0.761 0.721
Cl4 Cl 0.260 0.259 0.723
# - Total DFT energy (no corrections): -3.4478 eV/atom
# - Uncorrected formation energy: -1.732 eV per atom



# Pu4IrCl5 (PBE, optimized geometry)
data_Pu4IrCl5
_chemical_formula_sum 'Pu8 Ir2 Cl10'
_space_group_name_H-M_alt 'C 1 2/m 1'
_space_group_IT_number 12
_space_group_name_Hall '-C 2y'
_cell_length_a 17.651
_cell_length_b 3.988
_cell_length_c 8.404
_cell_angle_alpha 90.00
_cell_angle_beta 103.46
_cell_angle_gamma 90.00
loop_
_atom_site_label
_atom_site_type_symbol
_atom_site_fract_x
_atom_site_fract_y
_atom_site_fract_z
Pu1 Pu 0.003 0.000 0.237
Pu2 Pu 0.160 0.500 0.077
Ir1 Ir 0.000 0.500 0.000
Cl1 Cl 0.000 0.500 0.500
Cl2 Cl 0.168 0.000 0.319
Cl3 Cl 0.170 0.000 0.835
# - Total DFT energy (no corrections): -8.9420 eV/atom
# - Uncorrected formation energy: -1.400 eV per atom



# Cd8HgO6 (PBE, optimized geometry)
data_Cd8HgO6
_chemical_formula_sum 'Cd24 Hg3 O18'
_space_group_name_H-M_alt 'R -3'
_space_group_IT_number 148
_space_group_name_Hall '-R 3'
_cell_length_a 9.5463
_cell_length_b 9.5463
_cell_length_c 10.1869
_cell_angle_alpha 90.00
_cell_angle_beta 90.00
_cell_angle_gamma 120.00
loop_
_atom_site_label
_atom_site_type_symbol
_atom_site_fract_x
_atom_site_fract_y
_atom_site_fract_z
Cd1 Cd 0.0000 0.0000 0.2117
Cd2 Cd 0.0206 0.3935 0.2854
Hg1 Hg 0.0000 0.0000 0.5000
O1 O 0.0412 0.2413 0.1314
# - Total DFT energy (no corrections): -3.1858 eV/atom
# - Uncorrected formation energy: -0.694 eV per atom



- The highest total DFT energy (no corrections) belongs to which entry?
  Hg3Pd2Au2



Please write out number 4 again, unchanged.
# LiY2Fe (PBE, optimized geometry)
data_LiY2Fe
_chemical_formula_sum 'Li2 Y4 Fe2'
_space_group_name_H-M_alt 'I -4 m 2'
_space_group_IT_number 119
_space_group_name_Hall 'I -4 -2'
_cell_length_a 4.228
_cell_length_b 4.228
_cell_length_c 10.038
_cell_angle_alpha 90.00
_cell_angle_beta 90.00
_cell_angle_gamma 90.00
loop_
_atom_site_label
_atom_site_type_symbol
_atom_site_fract_x
_atom_site_fract_y
_atom_site_fract_z
Li1 Li 0.000 0.000 0.000
Y1 Y 0.000 0.000 0.500
Y2 Y 0.000 0.500 0.750
Fe1 Fe 0.000 0.500 0.250
# - Calculated formation energy: 0.32 eV/atom
# - Total DFT energy (no corrections): -5.5068 eV/atom